No. 1
Below is a geometry-optimized Na4Ti3O8 structure, with properties calculated at the GGA-PBEsol level.

Output
**Crystal system**: monoclinic
**DFT total energy**: -110.14 eV for the cell shown
**Formation energy (no corrections)**: -2.51 eV per atom
**Size of the total moment**: 0.00 μB per cell

Unit cell a=6.041 b=6.041 c=6.481 alpha=118.24 beta=118.24 gamma=60.47
Element x y z (fractional)
Na 0.000 0.000 0.000
Na 0.000 0.500 0.000
Na 0.500 0.000 0.000
Na 0.500 0.500 0.500
Ti 0.000 0.000 0.500
Ti 0.000 0.500 0.500
Ti 0.500 0.000 0.500
O 0.194 0.750 0.688
O 0.234 0.234 0.700
O 0.250 0.806 0.312
O 0.252 0.252 0.306
O 0.748 0.748 0.694
O 0.750 0.194 0.688
O 0.766 0.766 0.300
O 0.806 0.250 0.312

---

No. 2
Below is a geometry-optimized Ca2LaBe structure, with properties calculated at the GGA-PBEsol level.

Output
**Crystal system**: trigonal
**DFT total energy**: -12.02 eV for the cell shown
**Size of the total moment**: 0.00 μB per cell
**DFT formation energy**: 0.3988 eV/atom

Unit cell a=10.744 b=10.744 c=10.744 alpha=19.79 beta=19.79 gamma=19.79
Element x y z (fractional)
Ca 0.231 0.231 0.231
Ca 0.769 0.769 0.769
La 0.000 0.000 0.000
Be 0.500 0.500 0.500

---

No. 3
Below is a geometry-optimized Fe2Tc structure, with properties calculated at the GGA-PBEsol level.

Output
**Crystal system**: orthorhombic
**Energy relative to the lowest polymorph listed for this composition**: 0.092 eV/atom
**DFT total energy**: -28.96 eV for the cell shown
**Size of the total moment**: 2.38 μB per cell
**DFT formation energy**: 0.0770 eV/atom

Unit cell a=4.376 b=4.376 c=4.376 alpha=146.11 beta=131.74 gamma=60.28
Element x y z (fractional)
Fe 0.169 0.169 0.000
Fe 0.831 0.831 0.000
Tc 0.500 0.500 0.000

---

No. 4
Below is a geometry-optimized Ca2PCl structure, with properties calculated at the GGA-PBEsol level.

Output
**Crystal system**: monoclinic
**DFT total energy**: -17.96 eV for the cell shown
**Formation energy (no corrections)**: -1.47 eV per atom
**Size of the total moment**: 0.00 μB per cell

Unit cell a=3.697 b=3.583 c=7.324 alpha=90.00 beta=90.10 gamma=90.00
Element x y z (fractional)
Ca 0.002 0.000 0.201
Ca 0.998 0.000 0.799
P 0.500 0.500 0.000
Cl 0.000 0.500 0.500

---

No. 5
Below is a geometry-optimized Ta2WAu structure, with properties calculated at the GGA-PBEsol level.

Output
**Crystal system**: monoclinic
**Energy relative to the lowest polymorph listed for this composition**: 0.124 eV/atom
**DFT total energy**: -42.61 eV for the cell shown
**Size of the total moment**: 0.00 μB per cell
**DFT formation energy**: 0.0564 eV/atom

Unit cell a=2.778 b=4.248 c=5.800 alpha=90.00 beta=99.04 gamma=90.00
Element x y z (fractional)
Ta 0.078 0.000 0.262
Ta 0.922 0.000 0.738
W 0.500 0.500 0.500
Au 0.500 0.500 0.000

---

No. 6
Below is a geometry-optimized AlTeSe2 structure, with properties calculated at the GGA-PBEsol level.

Output
**Crystal system**: trigonal
**Energy relative to the lowest polymorph listed for this composition**: 0.000 eV/atom
**DFT total energy**: -17.14 eV for the cell shown
**Formation energy (no corrections)**: -0.46 eV per atom
**Size of the total moment**: 0.00 μB per cell

Unit cell a=8.559 b=8.559 c=8.559 alpha=24.83 beta=24.83 gamma=24.83
Element x y z (fractional)
Al 0.000 0.000 0.000
Te 0.500 0.500 0.500
Se 0.389 0.389 0.389
Se 0.611 0.611 0.611

---

No. 7
Below is a geometry-optimized CrInGe3 structure, with properties calculated at the GGA-PBEsol level.

Output
**Crystal system**: cubic
**DFT total energy**: -21.58 eV for the cell shown
**Size of the total moment**: 4.67 μB per cell
**DFT formation energy**: 1.2924 eV/atom

Unit cell a=5.109 b=5.109 c=5.109 alpha=90.00 beta=90.00 gamma=90.00
Element x y z (fractional)
Cr 0.000 0.000 0.000
In 0.500 0.500 0.500
Ge 0.000 0.500 0.500
Ge 0.500 0.000 0.500
Ge 0.500 0.500 0.000

---

No. 8
Below is a geometry-optimized KCu3Si structure, with properties calculated at the GGA-PBEsol level.

Output
**Crystal system**: cubic
**DFT total energy**: -18.56 eV for the cell shown
**Formation energy (no corrections)**: 0.26 eV per atom
**Size of the total moment**: 0.00 μB per cell

Unit cell a=4.549 b=4.549 c=4.549 alpha=90.00 beta=90.00 gamma=90.00
Element x y z (fractional)
K 0.000 0.000 0.000
Cu 0.000 0.500 0.500
Cu 0.500 0.000 0.500
Cu 0.500 0.500 0.000
Si 0.500 0.500 0.500

---

> What is the formula in the eighth record?

KCu3Si

---

> What is the size of the total moment in the fifth record?

0.00 μB per cell

---

> Among the records above, which one has the lowest DFT total energy?

Na4Ti3O8